VASP calculation (PBE+U) on a relaxed structure of VInMoF6.

Geometry as POSCAR:
```
VInMoF6
1.0
5.7019 0.0000 0.0000
-2.8509 4.9380 0.0000
0.0000 0.0000 11.7936
V In Mo F
2 2 2 12
direct
0.3333 0.6667 0.2500
0.6667 0.3333 0.7500
0.0000 0.0000 0.0000
0.0000 0.0000 0.5000
0.3333 0.6667 0.7500
0.6667 0.3333 0.2500
0.0034 0.3667 0.6564
0.0034 0.6367 0.8436
0.3633 0.3667 0.8436
0.3633 0.9966 0.6564
0.3667 0.0034 0.1564
0.3667 0.3633 0.3436
0.6333 0.6367 0.6564
0.6333 0.9966 0.8436
0.6367 0.0034 0.3436
0.6367 0.6333 0.1564
0.9966 0.3633 0.1564
0.9966 0.6333 0.3436
```

## Properties
- magnetic moment (μB/f.u.) = 6.000
- electronic total energy (eV per atom) = -5.57